1.
Below is an optimized crystal structure of LiAcAgBi, with properties calculated at the GGA-PBE level.

M_tot: 0.00 Bohr magnetons per cell
volume: 116 Å³ per cell
E_form: -0.4385 eV per atom
electronic total energy: -14.5 eV for the cell shown

Cell: 5.476 5.476 5.476 Å, 60.00 60.00 60.00°
Fractional coordinates of all 4 atoms:
Li: 0.000 0.000 0.000
Ac: 0.500 0.500 0.500
Ag: 0.750 0.750 0.750
Bi: 0.250 0.250 0.250

=====

2.
Below is an optimized crystal structure of Ho2Pu2In3, with properties calculated at the GGA-PBE level.

M_tot: 12.34 Bohr magnetons per cell
volume: 181 Å³ per cell
E_form: -0.2286 eV per atom
electronic total energy: -47.6 eV for the cell shown

Cell: 11.674 11.674 3.333 Å, 90.00 90.00 156.46°
Fractional coordinates of all 7 atoms:
Ho: 0.073 0.927 0.000
Ho: 0.927 0.073 0.000
Pu: 0.213 0.787 0.000
Pu: 0.787 0.213 0.000
In: 0.354 0.646 0.500
In: 0.500 0.500 0.500
In: 0.646 0.354 0.500

=====

3.
Below is an optimized crystal structure of BaSrMn2, with properties calculated at the GGA-PBE level.

offset from the most stable computed form: 196 meV/atom
M_tot: 7.34 Bohr magnetons per cell
volume: 137 Å³ per cell
E_form: 0.5790 eV per atom
electronic total energy: -19.6 eV for the cell shown

Cell: 4.664 6.782 6.782 Å, 39.74 90.00 90.00°
Fractional coordinates of all 4 atoms:
Ba: 0.000 0.000 0.000
Sr: 0.500 0.283 0.283
Mn: 0.000 0.699 0.699
Mn: 0.500 0.598 0.598